# Be4CoTe | Alexandria via LeMat-Bulk | PBEsol | optimized geometry
data_Be4CoTe
_chemical_formula_sum 'Be4 Co1 Te1'
_cell_length_a 4.493
_cell_length_b 4.493
_cell_length_c 4.493
_cell_angle_alpha 60.00
_cell_angle_beta 60.00
_cell_angle_gamma 60.00
_space_group_name_H-M_alt 'P 1'
_space_group_IT_number 1
_space_group_name_Hall 'P 1'
loop_
_atom_site_label
_atom_site_fract_x
_atom_site_fract_y
_atom_site_fract_z
Be1 0.378 0.378 0.378
Be2 0.378 0.378 0.866
Be3 0.378 0.866 0.378
Be4 0.866 0.378 0.378
Co1 0.750 0.750 0.750
Te1 0.000 0.000 0.000
# - Total magnetic moment: 0.00 μB/f.u.
# - Formation energy without anion corrections: 283 meV/atom